The following is a DFT calculation (GGA-PBE) of a geometry-optimized Sr4HgH structure.

Crystal system: monoclinic
Polymorph energy (0 for the lowest one) (meV/atom): 0.0

Cell: 6.8801 10.2131 6.9301 Å, 90.00 105.57 90.00°
Last column: nearest neighbours and their distance in Å.
Space group P2_1/m (No. 11)
Symmetry-distinct sites (fractional):
Sr 0.1577 0.2500 0.2066  1 H 2.44
Sr 0.2472 0.7500 0.3527  1 H 2.43
Sr 0.2752 0.0531 0.7611  1 H 2.48
Hg 0.3690 0.7500 0.8989  7 Sr 3.25-3.53, 1 H 3.59
H 0.1030 0.2500 0.8435  4 Sr 2.43-2.48

=====

The following is a DFT calculation (GGA-PBE) of a geometry-optimized SrHgH structure.

Crystal system: trigonal
Polymorph energy (0 for the lowest one) (meV/atom): 39.5

Cell: 4.2301 4.2301 28.4054 Å, 90.00 90.00 120.00°
Last column: nearest neighbours and their distance in Å.
Space group R-3m (No. 166, hexagonal axes)
Symmetry-distinct sites (fractional):
Sr 0.0000 0.0000 0.1107  4 H 2.48-2.54
Hg 0.0000 0.0000 0.3630  3 Hg 2.97
H 0.0000 0.0000 0.1980  4 Sr 2.48-2.54

=====

The following is a DFT calculation (GGA-PBE) of a geometry-optimized Sr2HgH2 structure.

Crystal system: tetragonal
Polymorph energy (0 for the lowest one) (meV/atom): 422.4

Cell: 8.3421 8.3421 3.4140 Å, 90.00 90.00 90.00°
Last column: nearest neighbours and their distance in Å.
Space group P4/mbm (No. 127)
Symmetry-distinct sites (fractional):
Sr 0.1405 0.3595 0.0000  4 H 2.63
Hg 0.0000 0.0000 0.0000  4 Sr 3.22, 2 Hg 3.41
H 0.0949 0.5949 0.5000  1 H 2.24

=====

The following is a DFT calculation (GGA-PBE) of a geometry-optimized Sr2HgH2 structure.

Crystal system: tetragonal
Polymorph energy (0 for the lowest one) (meV/atom): 268.7

Cell: 7.7272 7.7272 3.5394 Å, 90.00 90.00 90.00°
Last column: nearest neighbours and their distance in Å.
Space group P4/mbm (No. 127)
Symmetry-distinct sites (fractional):
Sr 0.1749 0.3251 0.0000  6 H 2.86-2.91
Hg 0.0000 0.0000 0.5000  4 H 3.08, 8 Sr 3.36
H 0.1191 0.6191 0.5000  1 H 2.60, 6 Sr 2.86-2.91

=====

The following is a DFT calculation (GGA-PBE) of a geometry-optimized SrHg2H8 structure.

Crystal system: monoclinic
Raw total energy (eV/cell): -58.25

Cell: 20.5836 4.6661 3.7366 Å, 90.00 93.90 90.00°
Last column: nearest neighbours and their distance in Å.
Space group C2/m (No. 12)
Symmetry-distinct sites (fractional):
Sr 0.0000 0.0000 0.0000  4 H 2.37
Hg 0.1292 0.5000 0.0524  8 H 2.93-3.23
H 0.0189 0.5000 0.5071  1 H 0.77
H 0.0708 0.0000 0.5261  2 Sr 2.37, 2 H 2.57
H 0.2175 0.0806 0.6454  1 H 0.75

=====

The following is a DFT calculation (GGA-PBE) of a geometry-optimized Sr2HgH2 structure.

Crystal system: tetragonal
Polymorph energy (0 for the lowest one) (meV/atom): 227.2

Cell: 5.1559 5.1559 9.1716 Å, 90.00 90.00 90.00°
Last column: nearest neighbours and their distance in Å.
Space group I4/mmm (No. 139)
Symmetry-distinct sites (fractional):
Sr 0.0000 0.5000 0.2500  4 H 2.59
Hg 0.0000 0.0000 0.0000  2 H 2.51
H 0.0000 0.0000 0.2733  1 Hg 2.51, 4 Sr 2.59

=====

The following is a DFT calculation (GGA-PBE) of a geometry-optimized SrHgH3 structure.

Crystal system: cubic
Polymorph energy (0 for the lowest one) (meV/atom): 135.3

Cell: 4.1417 4.1417 4.1417 Å, 90.00 90.00 90.00°
Last column: nearest neighbours and their distance in Å.
Space group Pm-3m (No. 221)
Symmetry-distinct sites (fractional):
Sr 0.0000 0.0000 0.0000  12 H 2.93
Hg 0.5000 0.5000 0.5000  6 H 2.07
H 0.0000 0.5000 0.5000  2 Hg 2.07

=====

The following is a DFT calculation (GGA-PBE) of a geometry-optimized SrHgH3 structure.

Crystal system: orthorhombic
Polymorph energy (0 for the lowest one) (meV/atom): 0.0

Cell: 7.2907 6.0136 6.9742 Å, 90.00 90.00 90.00°
Last column: nearest neighbours and their distance in Å.
Space group Pnma (No. 62)
Symmetry-distinct sites (fractional):
Sr 0.1746 0.2500 0.1410  8 H 2.50-2.59
Hg 0.0068 0.2500 0.7147  3 H 1.80-1.91
H 0.0043 0.2500 0.4561  1 Hg 1.80
H 0.1133 0.0018 0.8444  1 Hg 1.91

=====

The following is a DFT calculation (GGA-PBE) of a geometry-optimized Sr3Hg5H12 structure.

Crystal system: cubic
Raw total energy (eV/cell): -375.11

Cell: 13.6647 13.6647 13.6647 Å, 90.00 90.00 90.00°
Last column: nearest neighbours and their distance in Å.
Space group Ia-3d (No. 230)
Symmetry-distinct sites (fractional):
Sr 0.0000 0.2500 0.1250  8 H 2.57-2.58
Hg 0.0000 0.0000 0.0000  6 H 2.69
Hg 0.0000 0.2500 0.3750  4 H 1.85
H 0.0341 0.0724 0.6802  1 Hg 1.85

=====

The following is a DFT calculation (GGA-PBE) of a geometry-optimized Sr2HgTeH structure.

Crystal system: tetragonal
Raw total energy (eV/cell): -12.74

Cell: 5.1752 5.1752 5.0877 Å, 90.00 90.00 90.00°
Last column: nearest neighbours and their distance in Å.
Space group P4/mmm (No. 123)
Symmetry-distinct sites (fractional):
Sr 0.0000 0.5000 0.0000  2 H 2.59
Hg 0.0000 0.0000 0.5000  8 Sr 3.63, 4 Te 3.66
Te 0.5000 0.5000 0.5000  2 H 2.54
H 0.5000 0.5000 0.0000  2 Te 2.54, 4 Sr 2.59

=====

The following is a DFT calculation (GGA-PBE) of a geometry-optimized SrHgTeH2 structure.

Crystal system: tetragonal
Raw total energy (eV/cell): -11.02

Cell: 4.3521 4.3521 6.8726 Å, 90.00 90.00 90.00°
Last column: nearest neighbours and their distance in Å.
Space group P4/mmm (No. 123)
Symmetry-distinct sites (fractional):
Sr 0.0000 0.0000 0.0000  4 Hg 3.08
Hg 0.5000 0.5000 0.0000  4 Sr 3.08, 2 Te 3.44
Te 0.5000 0.5000 0.5000  4 H 2.18
H 0.0000 0.5000 0.5000  2 Te 2.18

=====

The following is a DFT calculation (GGA-PBE) of a geometry-optimized SrHg2TeH structure.

Crystal system: tetragonal
Raw total energy (eV/cell): -10.22

Cell: 4.4958 4.4958 6.7197 Å, 90.00 90.00 90.00°
Last column: nearest neighbours and their distance in Å.
Space group P4/mmm (No. 123)
Symmetry-distinct sites (fractional):
Sr 0.0000 0.0000 0.0000  4 Te 3.18
Hg 0.0000 0.5000 0.5000  2 H 2.25
Te 0.5000 0.5000 0.0000  4 Sr 3.18, 2 H 3.36
H 0.5000 0.5000 0.5000  4 Hg 2.25

=====

The following is a DFT calculation (GGA-PBE) of a geometry-optimized SrTlHgH2 structure.

Crystal system: tetragonal
Raw total energy (eV/cell): -9.21

Cell: 4.4691 4.4691 6.6029 Å, 90.00 90.00 90.00°
Last column: nearest neighbours and their distance in Å.
Space group P4/mmm (No. 123)
Symmetry-distinct sites (fractional):
Sr 0.0000 0.0000 0.0000  4 Hg 3.16, 2 Tl 3.30
Tl 0.0000 0.0000 0.5000  4 H 2.23
Hg 0.5000 0.5000 0.0000  4 Sr 3.16
H 0.0000 0.5000 0.5000  2 Tl 2.23

=====

The following is a DFT calculation (GGA-PBE) of a geometry-optimized SrTlHg2H structure.

Crystal system: tetragonal
Raw total energy (eV/cell): -8.92

Cell: 5.2376 5.2376 4.5325 Å, 90.00 90.00 90.00°
Last column: nearest neighbours and their distance in Å.
Space group P4/mmm (No. 123)
Symmetry-distinct sites (fractional):
Sr 0.0000 0.0000 0.0000  2 H 2.27
Tl 0.5000 0.5000 0.0000  8 Hg 3.46, 4 Sr 3.70
Hg 0.0000 0.5000 0.5000  2 H 2.62
H 0.0000 0.0000 0.5000  2 Sr 2.27

=====

The following is a DFT calculation (GGA-PBE) of a geometry-optimized Sr2TlHgH structure.

Crystal system: tetragonal
Polymorph energy (0 for the lowest one) (meV/atom): 8.7

Cell: 5.4342 5.4342 4.5586 Å, 90.00 90.00 90.00°
Last column: nearest neighbours and their distance in Å.
Space group P4/mmm (No. 123)
Symmetry-distinct sites (fractional):
Sr 0.0000 0.5000 0.0000  2 H 2.72
Tl 0.0000 0.0000 0.5000  2 H 2.28
Hg 0.5000 0.5000 0.5000  8 Sr 3.55, 4 Tl 3.84
H 0.0000 0.0000 0.0000  2 Tl 2.28

=====

The following is a DFT calculation (GGA-PBE) of a geometry-optimized Sr2TlHgH structure.

Crystal system: tetragonal
Polymorph energy (0 for the lowest one) (meV/atom): 0.0

Cell: 5.4492 5.4492 4.4211 Å, 90.00 90.00 90.00°
Last column: nearest neighbours and their distance in Å.
Space group P4/mmm (No. 123)
Symmetry-distinct sites (fractional):
Sr 0.0000 0.5000 0.0000  2 H 2.72
Tl 0.0000 0.0000 0.5000  8 Sr 3.51, 4 Hg 3.85
Hg 0.5000 0.5000 0.5000  2 H 2.21
H 0.5000 0.5000 0.0000  2 Hg 2.21

=====

The following is a DFT calculation (GGA-PBE) of a geometry-optimized Sr2ZnHgH structure.

Crystal system: tetragonal
Raw total energy (eV/cell): -9.92

Cell: 5.3252 5.3252 4.2512 Å, 90.00 90.00 90.00°
Last column: nearest neighbours and their distance in Å.
Space group P4/mmm (No. 123)
Symmetry-distinct sites (fractional):
Sr 0.0000 0.5000 0.0000  2 H 2.66
Zn 0.0000 0.0000 0.5000  2 H 2.13
Hg 0.5000 0.5000 0.5000  8 Sr 3.41, 4 Zn 3.77
H 0.0000 0.0000 0.0000  2 Zn 2.13

=====

The following is a DFT calculation (GGA-PBE) of a geometry-optimized TaHgH3 structure.

Crystal system: cubic
Polymorph energy (0 for the lowest one) (meV/atom): 0.0

Cell: 3.7292 3.7292 3.7292 Å, 90.00 90.00 90.00°
Last column: nearest neighbours and their distance in Å.
Space group Pm-3m (No. 221)
Symmetry-distinct sites (fractional):
Ta 0.0000 0.0000 0.0000  6 H 1.86
Hg 0.5000 0.5000 0.5000  12 H 2.64
H 0.0000 0.0000 0.5000  2 Ta 1.86

=====

The following is a DFT calculation (GGA-PBE) of a geometry-optimized Ta2Hg4H structure.

Crystal system: tetragonal
Raw total energy (eV/cell): -44.18

Cell: 4.1866 4.1866 14.9151 Å, 90.00 90.00 90.00°
Last column: nearest neighbours and their distance in Å.
Space group I4/mmm (No. 139)
Symmetry-distinct sites (fractional):
Ta 0.0000 0.0000 0.1526  5 Hg 2.70-2.97
Hg 0.0000 0.0000 0.3334  1 H 2.49, 1 Ta 2.70
Hg 0.0000 0.5000 0.0000  2 H 2.09
H 0.0000 0.0000 0.5000  4 Hg 2.09

=====

The following is a DFT calculation (GGA-PBE) of a geometry-optimized TaHgH3 structure.

Crystal system: cubic
Polymorph energy (0 for the lowest one) (meV/atom): 850.7

Cell: 3.7136 3.7136 3.7136 Å, 90.00 90.00 90.00°
Last column: nearest neighbours and their distance in Å.
Space group Pm-3m (No. 221)
Symmetry-distinct sites (fractional):
Ta 0.0000 0.0000 0.0000  12 H 2.63
Hg 0.5000 0.5000 0.5000  6 H 1.86
H 0.0000 0.5000 0.5000  2 Hg 1.86

=====

The following is a DFT calculation (GGA-PBE) of a geometry-optimized TaHg3H structure.

Crystal system: cubic
Polymorph energy (0 for the lowest one) (meV/atom): 0.0

Cell: 4.4127 4.4127 4.4127 Å, 90.00 90.00 90.00°
Last column: nearest neighbours and their distance in Å.
Space group Pm-3m (No. 221)
Symmetry-distinct sites (fractional):
Ta 0.0000 0.0000 0.0000  12 Hg 3.12
Hg 0.0000 0.5000 0.5000  2 H 2.21
H 0.5000 0.5000 0.5000  6 Hg 2.21

=====

The following is a DFT calculation (GGA-PBE) of a geometry-optimized TaHg3H structure.

Crystal system: cubic
Polymorph energy (0 for the lowest one) (meV/atom): 421.9

Cell: 5.4862 5.4862 5.4862 Å, 90.00 90.00 90.00°
Last column: nearest neighbours and their distance in Å.
Space group Pm-3m (No. 221)
Symmetry-distinct sites (fractional):
Ta 0.0000 0.0000 0.0000  6 Hg 2.74
Hg 0.0000 0.0000 0.5000  2 Ta 2.74
H 0.5000 0.5000 0.5000  12 Hg 3.88

=====

Number 1: total moment 0.00 μB per cell. Number 2: total moment 1.41 μB per cell. Number 3: total moment 0.00 μB per cell. Number 4: total moment 0.00 μB per cell. Number 5: total moment 0.00 μB per cell. Number 6: total moment 0.00 μB per cell. Number 7: total moment 0.00 μB per cell. Number 8: total moment 0.00 μB per cell. Number 9: total moment 0.00 μB per cell. Number 10: total moment 0.00 μB per cell. Number 11: total moment 0.00 μB per cell. Number 12: total moment 0.00 μB per cell. Number 13: total moment 0.00 μB per cell. Number 14: total moment 0.00 μB per cell. Number 15: total moment 0.00 μB per cell. Number 16: total moment 0.00 μB per cell. Number 17: total moment 0.00 μB per cell. Number 18: total moment 0.00 μB per cell. Number 19: total moment 0.00 μB per cell. Number 20: total moment 0.00 μB per cell. Number 21: total moment 0.00 μB per cell. Number 22: total moment 1.05 μB per cell.